No. 1
The following is a GGA-PBEsol calculation of a relaxed structure of ZnTe2PtSe, from the Alexandria database.

a = 5.2338 Å, b = 5.2338 Å, c = 4.6805 Å
α = 90.00°, β = 90.00°, γ = 90.00°
Closest atoms and distances in Å follow each position.
Fractional coordinates of all 5 atoms:
1 Zn 0.0000 0.0000 0.0000  2 Pt 2.34
2 Te 0.0000 0.5000 0.5000  2 Pt 2.62
3 Te 0.5000 0.0000 0.5000  2 Pt 2.62
4 Pt 0.0000 0.0000 0.5000  2 Zn 2.34, 4 Te 2.62
5 Se 0.5000 0.5000 0.0000  8 Te 3.51, 4 Zn 3.70

## Properties
total DFT energy (no corrections)	-3.587	eV/atom
M_tot	0.00	μB per cell
symmetry	P4/mmm (123)
formation energy from raw total energies	0.30	eV per atom

***

No. 2
The following is a GGA-PBEsol calculation of a relaxed structure of Sn3AsIr, from the Alexandria database.

a = 5.0619 Å, b = 5.0619 Å, c = 5.0619 Å
α = 90.00°, β = 90.00°, γ = 90.00°
Closest atoms and distances in Å follow each position.
Fractional coordinates of all 5 atoms:
1 Sn 0.0000 0.0000 0.5000  2 As 2.53
2 Sn 0.0000 0.5000 0.0000  2 As 2.53
3 Sn 0.5000 0.0000 0.0000  2 As 2.53
4 As 0.0000 0.0000 0.0000  6 Sn 2.53
5 Ir 0.5000 0.5000 0.5000  12 Sn 3.58

## Properties
total DFT energy (no corrections)	-4.306	eV/atom
energy relative to the elements	1235	meV per atom
M_tot	0.00	μB per cell
symmetry	Pm-3m (221)